Material: GdScBr
Method: DFT, PBE
State: relaxed

Lattice parameters (Å, degrees): 3.6171 3.6171 7.0224 90.00 90.00 120.00
Element x y z (fractional)
Sc1 0.6667 0.3333 0.3539
Gd1 0.0000 0.0000 0.9938
Br1 0.3333 0.6667 0.6523

Magnetic moment ... 7.5 μB/cell
ΔE_f (raw) ... -197.2 kJ/mol of formula units

=====

Material: GdSnBr2
Method: DFT, PBE
State: relaxed

Lattice parameters (Å, degrees): 3.7286 3.7286 10.8951 80.15 80.15 60.00
Element x y z (fractional)
Gd1 0.0000 0.0000 0.0000
Sn1 0.5000 0.5000 0.5000
Br1 0.0856 0.0856 0.7433
Br2 0.9144 0.9144 0.2567

Magnetic moment ... 7.2 μB/cell
ΔE_f (raw) ... -219.9 kJ/mol of formula units

=====

Material: Gd2SnBr
Method: DFT, PBE
State: relaxed

Lattice parameters (Å, degrees): 3.5762 3.5762 11.0431 80.68 80.68 60.00
Element x y z (fractional)
Gd1 0.0950 0.0950 0.7150
Gd2 0.9050 0.9050 0.2850
Sn1 0.0000 0.0000 0.0000
Br1 0.5000 0.5000 0.5000

Magnetic moment ... 14.4 μB/cell
ΔE_f (raw) ... -178.1 kJ/mol of formula units

=====

Material: TbGdBr2
Method: DFT, PBE
State: relaxed

Lattice parameters (Å, degrees): 3.6705 3.6705 10.3418 79.78 79.78 60.00
Element x y z (fractional)
Gd1 0.0000 0.0000 0.0000
Tb1 0.5000 0.5000 0.5000
Br1 0.0979 0.0979 0.7063
Br2 0.9021 0.9021 0.2937

Magnetic moment ... 7.5 μB/cell
ΔE_f (raw) ... -388.7 kJ/mol of formula units

=====

Material: TbGd2Br
Method: DFT, PBE
State: relaxed

Lattice parameters (Å, degrees): 3.6750 3.6750 10.5339 79.95 79.95 60.00
Element x y z (fractional)
Gd1 0.7423 0.7423 0.7731
Gd2 0.2577 0.2577 0.2269
Tb1 0.5000 0.5000 0.5000
Br1 0.0000 0.0000 0.0000

Magnetic moment ... 14.6 μB/cell
ΔE_f (raw) ... -208.9 kJ/mol of formula units
ΔE to the lowest computed polymorph ... 0.0 meV/atom

=====

Material: TbGd2Br
Method: DFT, PBE
State: relaxed

Lattice parameters (Å, degrees): 3.5579 3.5579 9.5498 90.00 90.00 90.00
Element x y z (fractional)
Gd1 0.0000 0.0000 0.7620
Gd2 0.0000 0.0000 0.2380
Tb1 0.5000 0.5000 0.5000
Br1 0.5000 0.5000 0.0000

Magnetic moment ... 14.8 μB/cell
ΔE_f (raw) ... -178.4 kJ/mol of formula units
ΔE to the lowest computed polymorph ... 79.0 meV/atom

=====

Material: Tb2GdBr
Method: DFT, PBE
State: relaxed

Lattice parameters (Å, degrees): 3.6539 3.6539 10.4806 79.96 79.96 60.00
Element x y z (fractional)
Gd1 0.5000 0.5000 0.5000
Tb1 0.7422 0.7422 0.7733
Tb2 0.2578 0.2578 0.2267
Br1 0.0000 0.0000 0.0000

Magnetic moment ... 7.3 μB/cell
ΔE_f (raw) ... -201.8 kJ/mol of formula units

=====

Material: Gd2TcBr
Method: DFT, PBE
State: relaxed

Lattice parameters (Å, degrees): 3.6725 3.6725 8.8395 78.01 78.01 60.00
Element x y z (fractional)
Gd1 0.7406 0.7406 0.7782
Gd2 0.2594 0.2594 0.2218
Tc1 0.0000 0.0000 0.0000
Br1 0.5000 0.5000 0.5000

Magnetic moment ... 14.3 μB/cell
ΔE_f (raw) ... -191.8 kJ/mol of formula units
ΔE to the lowest computed polymorph ... 119.0 meV/atom

=====

Material: Gd2TcBr
Method: DFT, PBE
State: relaxed

Lattice parameters (Å, degrees): 3.4735 3.4735 8.0251 90.00 90.00 90.00
Element x y z (fractional)
Gd1 0.0000 0.0000 0.7932
Gd2 0.0000 0.0000 0.2068
Tc1 0.5000 0.5000 0.0000
Br1 0.5000 0.5000 0.5000

Magnetic moment ... 14.2 μB/cell
ΔE_f (raw) ... -237.7 kJ/mol of formula units
ΔE to the lowest computed polymorph ... 0.0 meV/atom

=====

Material: GdTeBr
Method: DFT, PBE
State: relaxed

Lattice parameters (Å, degrees): 4.2062 4.9263 4.9263 120.00 90.00 90.00
Element x y z (fractional)
Gd1 0.1659 0.0000 0.0000
Te1 0.6668 0.6667 0.3333
Br1 0.1673 0.3333 0.6667

Magnetic moment ... 7.0 μB/cell
ΔE_f (raw) ... -381.8 kJ/mol of formula units

=====

Material: GdTeBr
Method: DFT, PBE
State: relaxed

Lattice parameters (Å, degrees): 5.1872 5.1872 5.1872 60.00 60.00 60.00
Element x y z (fractional)
Gd1 0.2500 0.2500 0.2500
Te1 0.0000 0.0000 0.0000
Br1 0.5000 0.5000 0.5000

Magnetic moment ... 7.0 μB/cell
ΔE_f (raw) ... -423.9 kJ/mol of formula units

=====

Material: Gd2ThBr
Method: DFT, PBE
State: relaxed

Lattice parameters (Å, degrees): 3.6013 3.6013 9.4380 90.00 90.00 90.00
Element x y z (fractional)
Gd1 0.0000 0.0000 0.7462
Gd2 0.0000 0.0000 0.2538
Br1 0.5000 0.5000 0.5000
Th1 0.5000 0.5000 0.0000

Magnetic moment ... 14.3 μB/cell
ΔE_f (raw) ... -181.0 kJ/mol of formula units
ΔE to the lowest computed polymorph ... 101.3 meV/atom